(1)
Computed, not measured: a relaxed structure of SrMg6Cu at the GGA-PBE level of DFT.

Cell lengths 4.5989, 6.3170, 13.8776 Å; angles 90.00, 90.00, 90.00 degrees
Space group Amm2 (No. 38)
Unique sites:
Sr1 0.0000 0.0000 0.0000 [2 per cell]
Mg1 0.0000 0.0000 0.4192 [2 per cell]
Mg2 0.0000 0.2485 0.7107 [4 per cell]
Mg3 0.5000 0.0000 0.5884 [2 per cell]
Mg4 0.5000 0.2440 0.8420 [4 per cell]
Cu1 0.5000 0.0000 0.1778 [2 per cell]

ΔH_f (0 K) ... 1.397 kcal/mol of atoms

***

(2)
Computed, not measured: a relaxed structure of PmBeAgSn at the GGA-PBE level of DFT.

Cell lengths 6.9220, 6.9220, 6.9220 Å; angles 90.00, 90.00, 90.00 degrees
Space group F-43m (No. 216)
Unique sites:
Pm1 0.0000 0.0000 0.0000 [4 per cell]
Be1 0.2500 0.2500 0.2500 [4 per cell]
Ag1 0.2500 0.2500 0.7500 [4 per cell]
Sn1 0.0000 0.0000 0.5000 [4 per cell]

ΔH_f (0 K) ... -1.508 kcal/mol of atoms

***

(3)
Computed, not measured: a relaxed structure of Sr4Ge at the GGA-PBE level of DFT.

Cell lengths 6.2529, 6.2529, 6.2529 Å; angles 90.00, 90.00, 90.00 degrees
Space group Pm-3m (No. 221)
Unique sites:
Sr1 0.0000 0.0000 0.0000 [1 per cell]
Sr2 0.0000 0.5000 0.5000 [3 per cell]
Ge1 0.5000 0.5000 0.5000 [1 per cell]

ΔH_f (0 K) ... -4.594 kcal/mol of atoms

***

(4)
Computed, not measured: a relaxed structure of Mn2Be16Cu at the GGA-PBE level of DFT.

Cell lengths 7.2438, 7.2438, 10.6791 Å; angles 90.00, 90.00, 120.00 degrees
Space group R3m (No. 160, hexagonal axes)
Unique sites:
Mn1 0.0000 0.0000 0.0000 [3 per cell]
Mn2 0.0000 0.0000 0.3188 [3 per cell]
Be1 0.0000 0.0000 0.7732 [3 per cell]
Be2 0.9997 0.3081 0.6654 [18 per cell]
Be3 0.0107 0.5054 0.8215 [9 per cell]
Be4 0.1682 0.3365 0.4992 [9 per cell]
Be5 0.1698 0.3396 0.8427 [9 per cell]
Cu1 0.0000 0.0000 0.5702 [3 per cell]

ΔH_f (0 K) ... -2.231 kcal/mol of atoms

***

(5)
Computed, not measured: a relaxed structure of Tb2NdTm6Sc at the GGA-PBE level of DFT.

Cell lengths 8.9810, 14.7374, 9.3442 Å; angles 90.00, 97.00, 90.00 degrees
Space group C2/c (No. 15)
Unique sites:
Tb1 0.2460 0.0523 0.4508 [8 per cell]
Nd1 0.0000 0.4764 0.2500 [4 per cell]
Tm1 0.0615 0.3108 0.9419 [8 per cell]
Tm2 0.0991 0.1082 0.1147 [8 per cell]
Tm3 0.2138 0.2778 0.3119 [8 per cell]
Sc1 0.0000 0.0873 0.7500 [4 per cell]

ΔH_f (0 K) ... 2.960 kcal/mol of atoms

***

(6)
Computed, not measured: a relaxed structure of MgSnPt2 at the GGA-PBE level of DFT.

Cell lengths 4.4420, 4.4420, 3.5119 Å; angles 90.00, 90.00, 90.00 degrees
Space group P4/mmm (No. 123)
Unique sites:
Mg1 0.0000 0.0000 0.0000 [1 per cell]
Sn1 0.5000 0.5000 0.0000 [1 per cell]
Pt1 0.0000 0.5000 0.5000 [2 per cell]

ΔH_f (0 K) ... -14.510 kcal/mol of atoms